No. 1
# meta-GGA SCAN Cs2PbO3, PBEsol geometry
# E_tot = -712.17 eV for the cell shown
# Crystal system = orthorhombic
# ΔE_f (raw) = -7.95 eV per formula unit
data_Cs2PbO3
_cell_length_a 11.2729
_cell_length_b 7.7459
_cell_length_c 6.0769
_cell_angle_alpha 90.00
_cell_angle_beta 90.00
_cell_angle_gamma 90.00
_symmetry_space_group_name_H-M 'C m c m'
_symmetry_Int_Tables_number 63
_symmetry_space_group_name_Hall '-C 2c 2'
loop_
_atom_site_label
_atom_site_fract_x
_atom_site_fract_y
_atom_site_fract_z
Cs1 0.1628 0.1453 0.2500
Pb1 0.0000 0.4103 0.7500
O1 0.0000 0.1461 0.7500
O2 0.1263 0.5000 0.0000


No. 2
# meta-GGA SCAN Cs2PbO2, PBEsol geometry
# E_tot = -682.45 eV for the cell shown
# Crystal system = triclinic
# ΔE_f (raw) = -6.75 eV per formula unit
data_Cs2PbO2
_cell_length_a 7.7921
_cell_length_b 8.0338
_cell_length_c 10.8497
_cell_angle_alpha 84.35
_cell_angle_beta 70.18
_cell_angle_gamma 61.14
_symmetry_space_group_name_H-M 'P -1'
_symmetry_Int_Tables_number 2
loop_
_symmetry_equiv_pos_as_xyz
'x,y,z'
'-x,-y,-z'
loop_
_atom_site_label
_atom_site_fract_x
_atom_site_fract_y
_atom_site_fract_z
Cs1 0.0640 0.4431 0.1835
Cs2 0.0646 0.9496 0.1743
Cs3 0.2475 0.7538 0.4955
Cs4 0.3976 0.0675 0.8598
Pb1 0.3084 0.1981 0.4704
Pb2 0.4052 0.5570 0.8768
O1 0.0789 0.7096 0.9763
O2 0.2017 0.0861 0.3596
O3 0.3467 0.9878 0.6231
O4 0.4919 0.3141 0.0088